[1]
5
Lattice="5.3104 0.0000 0.0000 0.0000 5.3104 0.0000 0.0000 0.0000 4.4894" Properties=species:S:1:pos:R:3 comment="La2MgInC, relaxed, DFT PBE" formation_energy_ev_per_atom=-0.21 final_energy_ev_per_atom=-4.8948 total_magnetization_mub_per_fu=0.0 crystal_system=tetragonal space_group="P4/mmm, No. 123" mass_density_g_cm3=5.63 pbc="T T T"
La 0.0000 2.6552 0.0000
La 2.6552 0.0000 0.0000
Mg 0.0000 0.0000 2.2447
In 2.6552 2.6552 2.2447
C 0.0000 0.0000 0.0000

=====

[2]
5
Lattice="5.4830 0.0000 0.0000 0.0000 5.4830 0.0000 0.0000 0.0000 3.8702" Properties=species:S:1:pos:R:3 comment="La2MnInC, relaxed, DFT PBE" formation_energy_ev_per_atom=-0.20 final_energy_ev_per_atom=-6.3975 total_magnetization_mub_per_fu=2.2 crystal_system=tetragonal space_group="P4/mmm, No. 123" mass_density_g_cm3=6.56 pbc="T T T"
La 0.0000 2.7415 0.0000
La 2.7415 0.0000 0.0000
Mn 0.0000 0.0000 1.9351
In 2.7415 2.7415 1.9351
C 0.0000 0.0000 0.0000

=====

[3]
5
Lattice="5.1634 0.0000 0.0000 0.0000 5.1634 0.0000 0.0000 0.0000 5.1814" Properties=species:S:1:pos:R:3 comment="LaNd2InC, relaxed, DFT PBE" formation_energy_ev_per_atom=-0.32 final_energy_ev_per_atom=-5.6050 total_magnetization_mub_per_fu=0.0 crystal_system=tetragonal space_group="P4/mmm, No. 123" mass_density_g_cm3=6.66 pbc="T T T"
La 0.0000 0.0000 0.0000
Nd 0.0000 2.5817 2.5907
Nd 2.5817 0.0000 2.5907
In 2.5817 2.5817 0.0000
C 0.0000 0.0000 2.5907

=====

[4]
5
Lattice="5.5234 0.0000 0.0000 0.0000 5.5234 0.0000 0.0000 0.0000 3.7031" Properties=species:S:1:pos:R:3 comment="La2InNiC, relaxed, DFT PBE" formation_energy_ev_per_atom=-0.26 final_energy_ev_per_atom=-5.7813 total_magnetization_mub_per_fu=0.0 crystal_system=tetragonal space_group="P4/mmm, No. 123" mass_density_g_cm3=6.81 pbc="T T T"
La 0.0000 2.7617 0.0000
La 2.7617 0.0000 0.0000
In 0.0000 0.0000 1.8516
Ni 2.7617 2.7617 1.8516
C 2.7617 2.7617 0.0000

=====

[5]
5
Lattice="4.9177 0.0000 0.0000 0.0000 4.9177 0.0000 0.0000 0.0000 4.5396" Properties=species:S:1:pos:R:3 comment="La2InCO, relaxed, DFT PBE" final_energy_ev_per_atom=-5.6020 total_magnetization_mub_per_fu=0.0 crystal_system=tetragonal space_group="P4/mmm, No. 123" formation_energy_uncorrected_ev_per_atom=-0.25 mass_density_g_cm3=6.36 pbc="T T T"
La 0.0000 2.4588 0.0000
La 2.4588 0.0000 0.0000
In 0.0000 0.0000 2.2698
C 2.4588 2.4588 2.2698
O 0.0000 0.0000 0.0000

=====

[6]
5
Lattice="4.4106 0.0000 0.0000 0.0000 4.4106 0.0000 0.0000 0.0000 4.9633" Properties=species:S:1:pos:R:3 comment="LaInPdC2, relaxed, DFT PBE" formation_energy_ev_per_atom=1.32 final_energy_ev_per_atom=-4.9380 total_magnetization_mub_per_fu=0.0 crystal_system=tetragonal space_group="P4/mmm, No. 123" mass_density_g_cm3=6.61 pbc="T T T"
La 0.0000 0.0000 0.0000
In 2.2053 2.2053 2.4816
Pd 2.2053 2.2053 0.0000
C 0.0000 2.2053 2.4816
C 2.2053 0.0000 2.4816

=====

[7]
5
Lattice="4.5270 0.0000 0.0000 0.0000 4.5270 0.0000 0.0000 0.0000 4.8132" Properties=species:S:1:pos:R:3 comment="LaInPd2C, relaxed, DFT PBE" formation_energy_ev_per_atom=0.09 final_energy_ev_per_atom=-5.3678 total_magnetization_mub_per_fu=0.0 crystal_system=tetragonal space_group="P4/mmm, No. 123" mass_density_g_cm3=8.06 pbc="T T T"
La 0.0000 0.0000 0.0000
In 2.2635 2.2635 0.0000
Pd 0.0000 2.2635 2.4066
Pd 2.2635 0.0000 2.4066
C 0.0000 0.0000 2.4066

=====

[8]
5
Lattice="5.1234 0.0000 0.0000 0.0000 5.1234 0.0000 0.0000 0.0000 5.1759" Properties=species:S:1:pos:R:3 comment="LaPm2InC, relaxed, DFT PBE" formation_energy_ev_per_atom=-0.34 final_energy_ev_per_atom=-5.6204 total_magnetization_mub_per_fu=0.0 crystal_system=tetragonal space_group="P4/mmm, No. 123" mass_density_g_cm3=6.79 pbc="T T T"
La 0.0000 0.0000 0.0000
Pm 0.0000 2.5617 2.5879
Pm 2.5617 0.0000 2.5879
In 2.5617 2.5617 0.0000
C 0.0000 0.0000 2.5879